1.
! LiInAgAu2 PBE-GGA relaxed; values from VASP
! energy relative to the elements = -1.1 eV per formula unit
! calculated total energy = -3.033 eV/atom
! symmetry = No. 11
&SYSTEM
  ibrav = 0, nat = 10, ntyp = 4
/
ATOMIC_SPECIES
Li 6.94 Li.upf
In 114.82 In.upf
Ag 107.87 Ag.upf
Au 196.97 Au.upf
ATOMIC_POSITIONS angstrom
Li -0.914 -9.964 8.984
Li -0.554 -4.494 9.019
In 0.652 -7.044 10.057
In -2.121 -7.414 7.946
Ag -0.598 -11.623 11.251
Ag -0.871 -2.835 6.752
Au -1.626 -12.543 13.800
Au -1.211 -8.823 11.399
Au 0.158 -1.915 4.203
Au -0.258 -5.635 6.604
CELL_PARAMETERS angstrom
-2.641 1.010 1.108
-0.479 -12.977 10.687
1.652 -2.491 6.208

2.
! Ho2Mg2In PBE-GGA relaxed; values from VASP
! energy relative to the elements = -0.9 eV per formula unit
! calculated total energy = -3.206 eV/atom
! symmetry = No. 12
&SYSTEM
  ibrav = 0, nat = 10, ntyp = 3
/
ATOMIC_SPECIES
Ho 164.93 Ho.upf
Mg 24.30 Mg.upf
In 114.82 In.upf
ATOMIC_POSITIONS angstrom
Ho 5.137 1.054 2.941
Ho 7.705 0.510 8.475
Ho 5.137 3.431 5.321
Ho 2.568 3.976 -0.213
Mg 2.568 1.051 5.054
Mg 7.705 3.593 7.138
Mg 7.705 3.434 3.209
Mg 2.568 0.892 1.124
In 5.137 0.369 6.383
In 5.137 4.116 1.880
CELL_PARAMETERS angstrom
5.137 0.000 0.000
2.568 5.541 -1.009
2.568 -1.055 9.271

3.
! ReSbOsI2 PBE-GGA relaxed; values from VASP
! distance to the lowest polymorph of the same formula = 0 meV/atom
! calculated total energy = -4.402 eV/atom
! formation energy without anion corrections = 1.7780 eV/atom
! symmetry = No. 123
&SYSTEM
  ibrav = 0, nat = 5, ntyp = 4
/
ATOMIC_SPECIES
I 126.90 I.upf
Re 186.21 Re.upf
Os 190.23 Os.upf
Sb 121.76 Sb.upf
ATOMIC_POSITIONS angstrom
I 0.000 2.760 0.000
I 2.760 0.000 0.000
Re 2.760 2.760 2.523
Os 0.000 0.000 0.000
Sb 0.000 0.000 2.523
CELL_PARAMETERS angstrom
5.519 0.000 0.000
0.000 5.519 0.000
0.000 0.000 5.046

4.
! Mn2BeIn PBE-GGA relaxed; values from VASP
! distance to the lowest polymorph of the same formula = 125 meV/atom
! energy relative to the elements = 1.1 eV per formula unit
! calculated total energy = -5.920 eV/atom
! symmetry = No. 6
&SYSTEM
  ibrav = 0, nat = 4, ntyp = 3
/
ATOMIC_SPECIES
Be 9.01 Be.upf
Mn 54.94 Mn.upf
In 114.82 In.upf
ATOMIC_POSITIONS angstrom
Be 0.568 -2.923 1.949
Mn 0.602 -2.568 -0.260
Mn -1.560 -1.845 1.277
In -1.284 -3.571 3.569
CELL_PARAMETERS angstrom
-3.632 -0.832 -0.189
0.646 -2.726 -0.410
0.230 -2.172 5.166

5.
! ZnNi2W2 PBE-GGA relaxed; values from VASP
! distance to the lowest polymorph of the same formula = 0 meV/atom
! energy relative to the elements = 1.4 eV per formula unit
! calculated total energy = -7.469 eV/atom
! symmetry = No. 127
&SYSTEM
  ibrav = 0, nat = 10, ntyp = 3
/
ATOMIC_SPECIES
Ni 58.69 Ni.upf
Zn 65.41 Zn.upf
W 183.84 W.upf
ATOMIC_POSITIONS angstrom
Ni 2.709 6.280 0.000
Ni 6.280 4.433 0.000
Ni 4.433 0.862 0.000
Ni 0.862 2.709 0.000
Zn 0.000 0.000 0.000
Zn 3.571 3.571 0.000
W 1.241 4.812 1.378
W 4.812 5.902 1.378
W 5.902 2.331 1.378
W 2.331 1.241 1.378
CELL_PARAMETERS angstrom
7.142 0.000 0.000
0.000 7.142 0.000
0.000 0.000 2.756

6.
! Ta3AlW PBE-GGA relaxed; values from VASP
! distance to the lowest polymorph of the same formula = 0 meV/atom
! energy relative to the elements = 7.4 eV per formula unit
! calculated total energy = -8.970 eV/atom
! symmetry = No. 221
&SYSTEM
  ibrav = 0, nat = 5, ntyp = 3
/
ATOMIC_SPECIES
Al 26.98 Al.upf
W 183.84 W.upf
Ta 180.95 Ta.upf
ATOMIC_POSITIONS angstrom
Al -4.049 -0.960 -0.598
W 0.000 0.000 0.000
Ta -1.021 -2.144 0.503
Ta -1.878 1.137 1.036
Ta -1.150 0.046 -2.137
CELL_PARAMETERS angstrom
-2.301 0.092 -4.274
-2.042 -4.288 1.006
-3.756 2.275 2.071

7.
! Ac3Mg8Ag3 PBE-GGA relaxed; values from VASP
! energy relative to the elements = -1.6 eV per formula unit
! calculated total energy = -2.517 eV/atom
! symmetry = No. 71
&SYSTEM
  ibrav = 0, nat = 14, ntyp = 3
/
ATOMIC_SPECIES
Ac 227.00 Ac.upf
Mg 24.30 Mg.upf
Ag 107.87 Ag.upf
ATOMIC_POSITIONS angstrom
Ac 3.576 4.399 6.460
Ac 4.399 1.807 3.456
Ac 2.753 6.991 9.464
Mg 3.394 0.962 7.122
Mg 3.757 7.837 5.798
Mg 4.436 5.699 3.320
Mg 2.716 3.100 9.600
Mg 5.892 6.941 7.763
Mg 1.260 1.858 5.158
Mg 5.371 4.571 9.664
Mg 1.781 4.227 3.256
Ag 2.486 0.000 0.681
Ag 1.663 7.007 3.686
Ag 0.516 1.791 7.873
CELL_PARAMETERS angstrom
4.972 0.000 1.362
1.980 8.449 2.529
0.200 0.350 9.030

8.
! YSn4Hg PBE-GGA relaxed; values from VASP
! energy relative to the elements = -0.8 eV per formula unit
! calculated total energy = -3.932 eV/atom
! symmetry = No. 216
&SYSTEM
  ibrav = 0, nat = 6, ntyp = 3
/
ATOMIC_SPECIES
Y 88.91 Y.upf
Hg 200.59 Hg.upf
Sn 118.71 Sn.upf
ATOMIC_POSITIONS angstrom
Y 0.000 0.000 0.000
Hg -3.503 0.096 1.409
Sn -7.076 -0.283 0.989
Sn -6.209 1.896 2.998
Sn -8.761 0.239 3.523
Sn -5.983 -1.087 3.762
CELL_PARAMETERS angstrom
-5.550 2.650 -0.477
-5.098 -3.310 1.050
-3.366 1.042 5.063

9.
! Li5Ca2Ag5 PBE-GGA relaxed; values from VASP
! energy relative to the elements = -2.6 eV per formula unit
! calculated total energy = -2.538 eV/atom
! symmetry = No. 47
&SYSTEM
  ibrav = 0, nat = 12, ntyp = 3
/
ATOMIC_SPECIES
Li 6.94 Li.upf
Ca 40.08 Ca.upf
Ag 107.87 Ag.upf
ATOMIC_POSITIONS angstrom
Li 2.295 2.699 4.928
Li 2.295 4.058 2.406
Li 2.295 1.341 7.450
Li 2.295 1.341 2.406
Li 2.295 4.058 7.450
Ca 0.000 2.699 0.000
Ca 0.000 0.000 4.928
Ag 0.000 2.699 3.262
Ag 0.000 0.000 8.094
Ag 0.000 0.000 1.761
Ag 0.000 2.699 6.593
Ag 2.295 0.000 0.000
CELL_PARAMETERS angstrom
4.589 0.000 0.000
0.000 5.399 0.000
0.000 0.000 9.855

10.
! NdDySnPd PBE-GGA relaxed; values from VASP
! energy relative to the elements = -2.8 eV per formula unit
! calculated total energy = -5.343 eV/atom
! symmetry = No. 216
&SYSTEM
  ibrav = 0, nat = 4, ntyp = 4
/
ATOMIC_SPECIES
Nd 144.24 Nd.upf
Sn 118.71 Sn.upf
Pd 106.42 Pd.upf
Dy 162.50 Dy.upf
ATOMIC_POSITIONS angstrom
Nd -4.971 2.932 2.823
Sn -2.486 1.466 1.412
Pd -7.457 4.398 4.235
Dy 0.000 0.000 0.000
CELL_PARAMETERS angstrom
-4.316 2.865 -0.827
-4.231 -0.697 3.023
-1.396 3.696 3.451

11.
! Tl2In2PbF6 PBE-GGA relaxed; values from VASP
! calculated total energy = -4.149 eV/atom
! formation energy without anion corrections = -1.8628 eV/atom
! symmetry = No. 12
&SYSTEM
  ibrav = 0, nat = 11, ntyp = 4
/
ATOMIC_SPECIES
Tl 204.38 Tl.upf
In 114.82 In.upf
Pb 207.20 Pb.upf
F 19.00 F.upf
ATOMIC_POSITIONS angstrom
Tl 3.208 1.727 0.558
Tl 0.000 0.728 6.307
In 3.208 2.263 4.055
In 0.000 0.193 2.810
Pb 3.208 -1.588 3.404
F 3.208 0.271 5.095
F 1.728 -0.560 1.586
F -1.479 3.016 5.279
F 1.479 3.016 5.279
F 4.687 -0.560 1.586
F 0.000 2.184 1.770
CELL_PARAMETERS angstrom
6.415 0.000 0.000
-3.208 5.632 0.056
0.000 -3.176 6.808

12.
! MgTe2PdN PBE-GGA relaxed; values from VASP
! distance to the lowest polymorph of the same formula = 0 meV/atom
! calculated total energy = -3.892 eV/atom
! formation energy without anion corrections = 0.3870 eV/atom
! symmetry = No. 123
&SYSTEM
  ibrav = 0, nat = 5, ntyp = 4
/
ATOMIC_SPECIES
Mg 24.30 Mg.upf
Te 127.60 Te.upf
Pd 106.42 Pd.upf
N 14.01 N.upf
ATOMIC_POSITIONS angstrom
Mg -3.312 -2.693 -0.993
Te -0.670 -1.200 -2.448
Te -2.723 0.182 0.656
Pd 0.000 0.000 0.000
N 0.081 -1.674 0.799
CELL_PARAMETERS angstrom
-5.447 0.363 1.312
-1.339 -2.401 -4.895
0.162 -3.348 1.598